Entry 1:
The following is a PBE with a Hubbard U calculation of a relaxed structure of AgWIO2, from the Alexandria database.

Unit cell a=3.9552 b=3.9552 c=7.4637 alpha=90.00 beta=90.00 gamma=90.00
Fractional coordinates of all 5 atoms:
I: 0.0000 0.0000 0.5000
O: 0.0000 0.5000 0.0000
Ag: 0.5000 0.5000 0.5000
W: 0.0000 0.0000 0.0000
O: 0.5000 0.0000 0.0000

=====

Entry 2:
The following is a PBE with a Hubbard U calculation of a relaxed structure of AgWIO2, from the Alexandria database.

Unit cell a=4.2443 b=4.2443 c=5.4261 alpha=90.00 beta=90.00 gamma=90.00
Fractional coordinates of all 5 atoms:
O: 0.5000 0.0000 0.0000
Ag: 0.0000 0.0000 0.0000
I: 0.0000 0.0000 0.5000
W: 0.5000 0.5000 0.5000
O: 0.0000 0.5000 0.0000

=====

Entry 3:
The following is a PBE with a Hubbard U calculation of a relaxed structure of AgWIO6, from the Alexandria database.

Unit cell a=5.4699 b=5.4699 c=10.3271 alpha=90.00 beta=90.00 gamma=120.00
Fractional coordinates of all 18 atoms:
O: 0.3872 0.0187 0.1434
O: 0.0187 0.6316 0.8566
I: 0.3333 0.6667 0.2500
O: 0.9813 0.6128 0.3566
W: 0.3333 0.6667 0.7500
O: 0.6316 0.0187 0.3566
Ag: 0.0000 0.0000 0.5000
O: 0.0187 0.3872 0.6434
Ag: 0.0000 0.0000 0.0000
W: 0.6667 0.3333 0.2500
O: 0.3684 0.3872 0.8566
O: 0.3872 0.3684 0.3566
O: 0.6128 0.6316 0.6434
I: 0.6667 0.3333 0.7500
O: 0.6316 0.6128 0.1434
O: 0.3684 0.9813 0.6434
O: 0.6128 0.9813 0.8566
O: 0.9813 0.3684 0.1434

=====

Entry 4:
The following is a PBE with a Hubbard U calculation of a relaxed structure of AgWI2O, from the Alexandria database.

Unit cell a=5.9564 b=5.9564 c=3.8887 alpha=90.00 beta=90.00 gamma=90.00
Fractional coordinates of all 5 atoms:
O: 0.0000 0.0000 0.5000
I: 0.5000 0.0000 0.0000
Ag: 0.5000 0.5000 0.5000
W: 0.0000 0.0000 0.0000
I: 0.0000 0.5000 0.0000

=====

Entry 5:
The following is a PBE with a Hubbard U calculation of a relaxed structure of AgWI2O, from the Alexandria database.

Unit cell a=5.7604 b=5.7604 c=4.0001 alpha=90.00 beta=90.00 gamma=90.00
Fractional coordinates of all 5 atoms:
O: 0.0000 0.0000 0.5000
I: 0.0000 0.5000 0.0000
W: 0.5000 0.5000 0.5000
Ag: 0.0000 0.0000 0.0000
I: 0.5000 0.0000 0.0000

=====

The records above yield V values of 23.35; 19.55; 14.87; 27.59; 26.55 Å³ per atom, respectively.
The records above yield final energy values of -5.138; -3.450; -5.481; -3.872; -2.829 eV/atom, respectively.